No. 1
VASP calculation (PBE) on a relaxed VCoCuRh crystal.

Output
* SG: F-43m (216)
* energy: -7.05 eV per atom
* calculated volume: 49.81 Å³ per cell
* DOS at the Fermi energy: 0.19 states/eV/atom

a b c (Å): 4.1299 4.1299 4.1299
angles (deg): 60.00 60.00 60.00
Last column: nearest neighbours and their distance in Å.
Sites, in units of the cell vectors:
V1 0.0000 0.0000 0.0000  4 Co 2.53, 4 Rh 2.53
Co1 0.2500 0.2500 0.2500  4 Cu 2.53, 4 V 2.53
Cu1 0.5000 0.5000 0.5000  4 Rh 2.53, 4 Co 2.53
Rh1 0.7500 0.7500 0.7500  4 Cu 2.53, 4 V 2.53

=====

No. 2
VASP calculation (PBE) on a relaxed VCo2CuRh crystal.

Output
* SG: P4/mmm (123)
* energy: -5.91 eV per atom
* calculated volume: 77.77 Å³ per cell
* DOS at the Fermi energy: 1.48 states/eV/atom

a b c (Å): 4.1774 4.1774 4.4566
angles (deg): 90.00 90.00 90.00
Last column: nearest neighbours and their distance in Å.
Sites, in units of the cell vectors:
V1 0.0000 0.0000 0.0000  4 Co 2.09, 2 Rh 2.23
Co1 0.0000 0.5000 0.0000  2 V 2.09
Co2 0.5000 0.0000 0.0000  2 V 2.09
Cu1 0.5000 0.5000 0.5000  4 Rh 2.95, 8 Co 3.05
Rh1 0.0000 0.0000 0.5000  2 V 2.23

=====

No. 3
VASP calculation (PBE) on a relaxed ZnCo2CuRh crystal.

Output
* SG: P4/mmm (123)
* energy: -4.27 eV per atom
* calculated volume: 83.20 Å³ per cell
* DOS at the Fermi energy: 1.63 states/eV/atom

a b c (Å): 4.2618 4.2618 4.5805
angles (deg): 90.00 90.00 90.00
Last column: nearest neighbours and their distance in Å.
Sites, in units of the cell vectors:
Zn1 0.0000 0.0000 0.0000  4 Rh 3.01, 8 Co 3.13
Co1 0.0000 0.5000 0.5000  2 Cu 2.13
Co2 0.5000 0.0000 0.5000  2 Cu 2.13
Cu1 0.5000 0.5000 0.5000  4 Co 2.13, 2 Rh 2.29
Rh1 0.5000 0.5000 0.0000  2 Cu 2.29

=====

No. 4
VASP calculation (PBE) on a relaxed Zr2CoCuRh crystal.

Output
* SG: P4/mmm (123)
* energy: -6.51 eV per atom
* calculated volume: 96.97 Å³ per cell
* DOS at the Fermi energy: 1.08 states/eV/atom

a b c (Å): 4.8277 4.8277 4.1607
angles (deg): 90.00 90.00 90.00
Last column: nearest neighbours and their distance in Å.
Sites, in units of the cell vectors:
Zr1 0.0000 0.5000 0.0000  2 Cu 2.41
Zr2 0.5000 0.0000 0.0000  2 Cu 2.41
Co1 0.0000 0.0000 0.5000  2 Cu 2.08
Cu1 0.0000 0.0000 0.0000  2 Co 2.08
Rh1 0.5000 0.5000 0.5000  8 Zr 3.19, 4 Co 3.41

=====

No. 5
VASP calculation (PBE) on a relaxed ZrCoCuRh crystal.

Output
* SG: F-43m (216)
* energy: -7.05 eV per atom
* calculated volume: 58.48 Å³ per cell
* DOS at the Fermi energy: 1.18 states/eV/atom

a b c (Å): 4.3568 4.3568 4.3568
angles (deg): 60.00 60.00 60.00
Last column: nearest neighbours and their distance in Å.
Sites, in units of the cell vectors:
Zr1 0.0000 0.0000 0.0000  4 Co 2.67, 4 Rh 2.67
Co1 0.2500 0.2500 0.2500  4 Cu 2.67, 4 Zr 2.67
Cu1 0.5000 0.5000 0.5000  4 Rh 2.67, 4 Co 2.67
Rh1 0.7500 0.7500 0.7500  4 Cu 2.67, 4 Zr 2.67

=====

No. 6
VASP calculation (PBE) on a relaxed CoCuRu2 crystal.

Output
* SG: F-43m (216)
* energy: -7.07 eV per atom
* calculated volume: 52.43 Å³ per cell
* DOS at the Fermi energy: 1.08 states/eV/atom
* relative energy among the computed polymorphs: 166 meV per atom

a b c (Å): 4.2012 4.2012 4.2012
angles (deg): 60.00 60.00 60.00
Last column: nearest neighbours and their distance in Å.
Sites, in units of the cell vectors:
Co1 0.0000 0.0000 0.0000  4 Ru 2.57, 4 Cu 2.57
Cu1 0.7500 0.7500 0.7500  4 Co 2.57, 4 Ru 2.57
Ru1 0.2500 0.2500 0.2500  4 Co 2.57, 4 Ru 2.57
Ru2 0.5000 0.5000 0.5000  4 Ru 2.57, 4 Cu 2.57

=====

No. 7
VASP calculation (PBE) on a relaxed CoCuRu2 crystal.

Output
* SG: C2/m (12)
* energy: -7.17 eV per atom
* calculated volume: 51.62 Å³ per cell
* DOS at the Fermi energy: 1.50 states/eV/atom
* relative energy among the computed polymorphs: 64 meV per atom

a b c (Å): 4.5221 4.5221 4.5993
angles (deg): 99.80 99.80 33.90
Last column: nearest neighbours and their distance in Å.
Sites, in units of the cell vectors:
Co1 0.0000 0.0000 0.0000  6 Ru 2.56-2.66, 2 Co 2.64, 4 Cu 2.65
Cu1 0.5000 0.5000 0.5000  6 Ru 2.59-2.67, 2 Cu 2.64, 4 Co 2.65
Ru1 0.2568 0.2568 0.7569  3 Co 2.56-2.66, 3 Cu 2.59-2.67, 6 Ru 2.62-2.69
Ru2 0.7432 0.7432 0.2431  3 Co 2.56-2.66, 3 Cu 2.59-2.67, 6 Ru 2.62-2.69

=====

No. 8
VASP calculation (PBE) on a relaxed CoCuRu2 crystal.

Output
* SG: I-42d (122)
* energy: -6.69 eV per atom
* calculated volume: 114.48 Å³ per cell
* DOS at the Fermi energy: 1.42 states/eV/atom
* relative energy among the computed polymorphs: 542 meV per atom

a b c (Å): 5.4325 5.4325 5.4325
angles (deg): 101.44 101.44 127.10
Last column: nearest neighbours and their distance in Å.
Sites, in units of the cell vectors:
Co1 0.0000 0.0000 0.0000  4 Ru 2.28, 2 Cu 2.42
Co2 0.7500 0.2500 0.5000  4 Ru 2.28, 2 Cu 2.42
Cu1 0.2500 0.7500 0.5000  2 Co 2.42
Cu2 0.5000 0.5000 0.0000  2 Co 2.42
Ru1 0.0752 0.6250 0.9502  2 Co 2.28, 2 Ru 2.51
Ru2 0.3750 0.3252 0.4502  2 Co 2.28, 2 Ru 2.51
Ru3 0.6748 0.1250 0.0498  2 Co 2.28, 2 Ru 2.51
Ru4 0.8750 0.9248 0.5498  2 Co 2.28, 2 Ru 2.51

=====

No. 9
VASP calculation (PBE) on a relaxed CoCuRu2 crystal.

Output
* SG: R-3m (166)
* energy: -7.21 eV per atom
* calculated volume: 51.63 Å³ per cell
* DOS at the Fermi energy: 1.14 states/eV/atom
* relative energy among the computed polymorphs: 22 meV per atom

a b c (Å): 8.6499 8.6499 8.6499
angles (deg): 17.60 17.60 17.60
Last column: nearest neighbours and their distance in Å.
Sites, in units of the cell vectors:
Co1 0.0000 0.0000 0.0000  6 Ru 2.56, 6 Co 2.65
Cu1 0.5000 0.5000 0.5000  6 Cu 2.65, 6 Ru 2.68
Ru1 0.2531 0.2531 0.2531  3 Co 2.56, 6 Ru 2.65, 3 Cu 2.68
Ru2 0.7469 0.7469 0.7469  3 Co 2.56, 6 Ru 2.65, 3 Cu 2.68

=====

No. 10
VASP calculation (PBE) on a relaxed Co2CuRu crystal.

Output
* SG: I4/mmm (139)
* energy: -6.66 eV per atom
* calculated volume: 48.28 Å³ per cell
* DOS at the Fermi energy: 1.77 states/eV/atom
* relative energy among the computed polymorphs: 52 meV per atom

a b c (Å): 4.4061 4.4061 4.4061
angles (deg): 130.54 130.54 72.55
Last column: nearest neighbours and their distance in Å.
Sites, in units of the cell vectors:
Co1 0.2500 0.7500 0.5000  4 Ru 2.56, 4 Cu 2.56, 4 Co 2.61
Co2 0.7500 0.2500 0.5000  4 Ru 2.56, 4 Cu 2.56, 4 Co 2.61
Cu1 0.0000 0.0000 0.0000  8 Co 2.56, 4 Ru 2.61
Ru1 0.5000 0.5000 0.0000  8 Co 2.56, 4 Cu 2.61

=====

No. 11
VASP calculation (PBE) on a relaxed Co2CuRu crystal.

Output
* SG: R3m (160)
* energy: -6.72 eV per atom
* calculated volume: 48.79 Å³ per cell
* DOS at the Fermi energy: 1.13 states/eV/atom
* relative energy among the computed polymorphs: 0 meV per atom

a b c (Å): 8.4886 8.4886 8.4886
angles (deg): 17.60 17.60 17.60
Last column: nearest neighbours and their distance in Å.
Sites, in units of the cell vectors:
Co1 0.0000 0.0000 0.0000  9 Co 2.45-2.60, 3 Cu 2.57
Co2 0.2561 0.2561 0.2561  9 Co 2.45-2.60, 3 Ru 2.58
Cu1 0.7499 0.7499 0.7499  3 Co 2.57, 6 Cu 2.60, 3 Ru 2.69
Ru1 0.5056 0.5056 0.5056  3 Co 2.58, 6 Ru 2.60, 3 Cu 2.69

=====

No. 12
VASP calculation (PBE) on a relaxed Co2CuRu crystal.

Output
* SG: F-43m (216)
* energy: -6.59 eV per atom
* calculated volume: 49.48 Å³ per cell
* DOS at the Fermi energy: 0.89 states/eV/atom
* relative energy among the computed polymorphs: 125 meV per atom

a b c (Å): 4.1208 4.1208 4.1208
angles (deg): 60.00 60.00 60.00
Last column: nearest neighbours and their distance in Å.
Sites, in units of the cell vectors:
Co1 0.0000 0.0000 0.0000  4 Co 2.52, 4 Cu 2.52
Co2 0.2500 0.2500 0.2500  4 Ru 2.52, 4 Co 2.52
Cu1 0.7500 0.7500 0.7500  4 Ru 2.52, 4 Co 2.52
Ru1 0.5000 0.5000 0.5000  4 Cu 2.52, 4 Co 2.52

=====

Number 1: E_form -0.13 eV per atom. Number 2: E_form 1.04 eV per atom. Number 3: E_form 1.12 eV per atom. Number 4: E_form 0.62 eV per atom. Number 5: E_form -0.27 eV per atom. Number 6: E_form 0.37 eV per atom. Number 7: E_form 0.27 eV per atom. Number 8: E_form 0.75 eV per atom. Number 9: E_form 0.23 eV per atom. Number 10: E_form 0.23 eV per atom. Number 11: E_form 0.18 eV per atom. Number 12: E_form 0.30 eV per atom.